Record 1
VASP calculation (meta-GGA SCAN) on a PBEsol-optimized structure of Al4Ag3.

Properties
Offset from the most stable computed form   24 meV/atom
Energy of formation   -0.060 eV/atom

a b c (Å): 2.9094 2.9094 46.5399
angles (deg): 90.00 90.00 120.00
Last column: nearest neighbours and their distance in Å.
Space group R3m (No. 160, hexagonal axes)
Symmetry-distinct sites (fractional):
Al 0.0000 0.0000 0.0000 (multiplicity 3)  6 Ag 2.73-2.78, 6 Al 2.91
Al 0.0000 0.0000 0.1425 (multiplicity 3)  12 Al 2.78-2.91
Al 0.0000 0.0000 0.4281 (multiplicity 3)  3 Ag 2.77, 9 Al 2.78-2.91
Al 0.0000 0.0000 0.8569 (multiplicity 3)  3 Ag 2.73, 9 Al 2.79-2.91
Ag 0.0000 0.0000 0.2871 (multiplicity 3)  3 Al 2.73, 9 Ag 2.90-2.91
Ag 0.0000 0.0000 0.5698 (multiplicity 3)  3 Al 2.73, 9 Ag 2.90-2.91
Ag 0.0000 0.0000 0.7142 (multiplicity 3)  6 Al 2.77-2.78, 6 Ag 2.91


Record 2
VASP calculation (meta-GGA SCAN) on a PBEsol-optimized structure of Mg2PtC2.

Properties
Energy of formation   0.552 eV/atom

a b c (Å): 3.8182 3.8182 8.4227
angles (deg): 90.00 90.00 90.00
Last column: nearest neighbours and their distance in Å.
Space group I4/mmm (No. 139)
Symmetry-distinct sites (fractional):
Mg 0.0000 0.5000 0.2500 (multiplicity 4)  4 C 2.38
Pt 0.0000 0.0000 0.0000 (multiplicity 2)  8 C 2.78, 8 Mg 2.84
C 0.0000 0.0000 0.4194 (multiplicity 4)  1 C 1.36


Record 3
VASP calculation (meta-GGA SCAN) on a PBEsol-optimized structure of SrZr3Sc.

Properties
Energy of formation   0.931 eV/atom

a b c (Å): 5.2059 5.2059 5.2059
angles (deg): 90.00 90.00 90.00
Last column: nearest neighbours and their distance in Å.
Space group Pm-3m (No. 221)
Symmetry-distinct sites (fractional):
Sr 0.0000 0.0000 0.0000 (multiplicity 1)  12 Zr 3.68
Zr 0.0000 0.5000 0.5000 (multiplicity 3)  2 Sc 2.60
Sc 0.5000 0.5000 0.5000 (multiplicity 1)  6 Zr 2.60


Record 4
VASP calculation (meta-GGA SCAN) on a PBEsol-optimized structure of BaLa2SiNi.

Properties
VASP energy   -30.411 eV/atom

a b c (Å): 5.2585 5.2585 5.4269
angles (deg): 90.00 90.00 90.00
Last column: nearest neighbours and their distance in Å.
Space group P4/mmm (No. 123)
Symmetry-distinct sites (fractional):
Ba 0.0000 0.0000 0.0000 (multiplicity 1)  2 Ni 2.71
La 0.0000 0.5000 0.5000 (multiplicity 2)  2 Ni 2.63
Si 0.5000 0.5000 0.0000 (multiplicity 1)  4 Ba 3.72, 8 La 3.78
Ni 0.0000 0.0000 0.5000 (multiplicity 1)  4 La 2.63, 2 Ba 2.71


Record 5
VASP calculation (meta-GGA SCAN) on a PBEsol-optimized structure of Bi2Se2Cl7.

Properties
VASP energy   -23.760 eV/atom

a b c (Å): 10.7143 10.7143 9.9678
angles (deg): 90.00 90.00 90.00
Last column: nearest neighbours and their distance in Å.
Space group P4/n (No. 85, origin choice 2)
Symmetry-distinct sites (fractional):
Bi 0.0171 0.6493 0.1509 (multiplicity 8)  5 Cl 2.61-2.90
Se 0.1263 0.3418 0.3966 (multiplicity 8)  2 Se 2.33
Cl 0.0153 0.8810 0.2847 (multiplicity 8)  2 Bi 2.65-2.82
Cl 0.0505 0.1418 0.0592 (multiplicity 8)  2 Bi 2.68-2.90
Cl 0.1083 0.8428 0.6391 (multiplicity 8)  1 Bi 2.61, 1 Se 2.90
Cl 0.2500 0.2500 0.8205 (multiplicity 2)  4 Bi 3.07, 8 Cl 3.34-3.40
Cl 0.2500 0.7500 0.0000 (multiplicity 2)  4 Bi 3.11, 4 Cl 3.47


Record 6
VASP calculation (meta-GGA SCAN) on a PBEsol-optimized structure of HfHS3.

Properties
VASP energy   -18.689 eV/atom

a b c (Å): 4.0602 4.0602 4.0602
angles (deg): 90.00 90.00 90.00
Last column: nearest neighbours and their distance in Å.
Space group Pm-3m (No. 221)
Symmetry-distinct sites (fractional):
Hf 0.0000 0.0000 0.0000 (multiplicity 1)  12 S 2.87
H 0.5000 0.5000 0.5000 (multiplicity 1)  6 S 2.03
S 0.0000 0.5000 0.5000 (multiplicity 3)  2 H 2.03


Taking the records one at a time from the top gives magnetization values of 0.1 0.0 2.7 0.0 0.0 0.0 μB/f.u..
Taking the records one at a time from the top gives volume values of 16.25 12.28 28.22 30.01 26.01 13.39 Å³/atom.